Crystalline CoCuN3 at its relaxed geometry, computed with PBE.

POSCAR file:
```
CoCuN3
1.0
3.6383 0.0000 0.0000
0.0000 3.6383 0.0000
0.0000 0.0000 3.6383
Co Cu N
1 1 3
Direct
0.0000 0.0000 0.0000 Co
0.5000 0.5000 0.5000 Cu
0.0000 0.5000 0.0000 N
0.0000 0.0000 0.5000 N
0.5000 0.0000 0.0000 N
```

Computed properties:
The density of states at the Fermi level is 4.5 states/eV/f.u. Its total energy is -5.533 eV/atom. As for the crystal system: cubic. The uncorrected formation energy comes out at 1.70 eV/atom. Its magnetic moment is 0.000 μB per atom. For the density, the calculation gives 5.67 g/cm3. The value obtained for the volume is 9.632 Å³/atom.

Crystalline CoCuN2 at its relaxed geometry, computed with PBE.

POSCAR file:
```
CoCuN2
1.0
1.6059 0.0000 5.7993
-0.8030 1.3908 5.7993
-0.8030 -1.3908 5.7993
Co Cu N
1 1 2
Direct
0.5000 0.5000 0.5000 Co
0.0000 0.0000 0.0000 Cu
0.8938 0.8938 0.8938 N
0.1062 0.1062 0.1062 N
```

Computed properties:
The density of states at the Fermi level is 4.7 states/eV/f.u. Its total energy is -6.415 eV/atom. As for the crystal system: trigonal. The uncorrected formation energy comes out at 0.55 eV/atom. For the relative energy among the computed polymorphs, the calculation gives 104 meV per atom. Its magnetic moment is 0.000 μB per atom. For the density, the calculation gives 6.43 g/cm3. The value obtained for the volume is 9.714 Å³/atom.

Crystalline CoCuN3 at its relaxed geometry, computed with PBE.

POSCAR file:
```
CoCuN3
1.0
-1.0243 2.7350 -2.2475
1.2855 -1.8926 -2.8890
-3.2983 -1.5870 -0.4280
Co Cu N
1 1 3
Direct
0.5000 0.5000 0.5000 Co
0.0000 0.0000 0.0000 Cu
0.0000 0.5000 0.0000 N
0.0000 0.0000 0.5000 N
0.5000 0.0000 0.0000 N
```

Computed properties:
The density of states at the Fermi level is 5.7 states/eV/f.u. Its total energy is -5.023 eV/atom. As for the crystal system: cubic. The uncorrected formation energy comes out at 2.21 eV/atom. Its magnetic moment is 0.326 μB per atom. For the density, the calculation gives 5.46 g/cm3. The value obtained for the volume is 10.009 Å³/atom.

Crystalline CoCuN2 at its relaxed geometry, computed with PBE.

POSCAR file:
```
CoCuN2
1.0
-0.6178 -4.3334 0.0694
3.1594 -0.4983 -2.9891
4.1890 -2.7816 1.6855
Co Cu N
2 2 4
Direct
0.5000 0.5000 0.0000 Co
0.2500 0.7500 0.5000 Co
0.0000 0.0000 0.0000 Cu
0.7500 0.2500 0.5000 Cu
0.5913 0.1250 0.2500 N
0.1587 0.6250 0.2500 N
0.3750 0.4087 0.7500 N
0.8750 0.8413 0.7500 N
```

Computed properties:
The density of states at the Fermi level is 2.5 states/eV/f.u. Its total energy is -6.519 eV/atom. As for the crystal system: tetragonal. The uncorrected formation energy comes out at 0.44 eV/atom. For the relative energy among the computed polymorphs, the calculation gives 0 meV per atom. Its magnetic moment is 0.000 μB per atom. For the density, the calculation gives 6.06 g/cm3. The value obtained for the volume is 10.316 Å³/atom.